KSc2W | GGA-PBE | relaxed

Properties
- final energy (eV/atom) = -5.997
- symmetry = No. 12
- excess energy over the best structure of this formula in the dataset (eV per atom) = 0.2634
- DFT formation energy (eV per formula unit) = 2.73
- calculated density (Mg/m³) = 4.52

a = 4.4406 Å, b = 4.4406 Å, c = 8.9672 Å
α = 93.05°, β = 93.05°, γ = 40.66°
Positions (direct):
K 0.0000 0.0000 0.0000
Sc 0.2331 0.2331 0.6589
Sc 0.7669 0.7669 0.3411
W 0.5000 0.5000 0.5000


KSc4W | GGA-PBE | relaxed

Properties
- final energy (eV/atom) = -5.515
- symmetry = No. 216
- DFT formation energy (eV per formula unit) = 6.29
- calculated density (Mg/m³) = 4.45

a = 5.9686 Å, b = 5.9686 Å, c = 5.9686 Å
α = 60.00°, β = 60.00°, γ = 60.00°
Positions (direct):
K 0.0000 0.0000 0.0000
Sc 0.1395 0.6202 0.6202
Sc 0.6202 0.1395 0.6202
Sc 0.6202 0.6202 0.1395
Sc 0.6202 0.6202 0.6202
W 0.2500 0.2500 0.2500


K4ScW | GGA-PBE | relaxed

Properties
- final energy (eV/atom) = -2.432
- symmetry = No. 216
- DFT formation energy (eV per formula unit) = 9.08
- calculated density (Mg/m³) = 2.62

a = 7.0166 Å, b = 7.0166 Å, c = 7.0166 Å
α = 60.00°, β = 60.00°, γ = 60.00°
Positions (direct):
K 0.3764 0.3764 0.3764
K 0.3764 0.3764 0.8707
K 0.3764 0.8707 0.3764
K 0.8707 0.3764 0.3764
Sc 0.0000 0.0000 0.0000
W 0.7500 0.7500 0.7500


Please write out number 1 again, unchanged.
KSc2W | GGA-PBE | relaxed

Properties
- final energy (eV/atom) = -5.997
- symmetry = No. 12
- excess energy over the best structure of this formula in the dataset (eV per atom) = 0.2634
- DFT formation energy (eV per formula unit) = 2.73
- calculated density (Mg/m³) = 4.52

a = 4.4406 Å, b = 4.4406 Å, c = 8.9672 Å
α = 93.05°, β = 93.05°, γ = 40.66°
Positions (direct):
K 0.0000 0.0000 0.0000
Sc 0.2331 0.2331 0.6589
Sc 0.7669 0.7669 0.3411
W 0.5000 0.5000 0.5000


- Among the records above, which one has the highest calculated density?
  KSc2W


Copy entry 2 word for word.
KSc4W | GGA-PBE | relaxed

Properties
- final energy (eV/atom) = -5.515
- symmetry = No. 216
- DFT formation energy (eV per formula unit) = 6.29
- calculated density (Mg/m³) = 4.45

a = 5.9686 Å, b = 5.9686 Å, c = 5.9686 Å
α = 60.00°, β = 60.00°, γ = 60.00°
Positions (direct):
K 0.0000 0.0000 0.0000
Sc 0.1395 0.6202 0.6202
Sc 0.6202 0.1395 0.6202
Sc 0.6202 0.6202 0.1395
Sc 0.6202 0.6202 0.6202
W 0.2500 0.2500 0.2500


- What is the calculated density in the first record?
  4.52 Mg/m³